No. 1
PuReN: optimized geometry, PBE.

Lattice parameters (Å, degrees): 4.1395 4.1395 20.7731 90.00 90.00 120.00
Space group R-3m (No. 166, hexagonal axes)
Inequivalent atoms, fractional coordinates:
1 Pu 0.0000 0.0000 0.1054 x6
2 Re 0.0000 0.0000 0.3155 x6
3 N 0.0000 0.0000 0.2153 x6

Results
The calculation puts the uncorrected formation energy at -0.54 eV per atom. As for the calculated volume: 17.1 A^3/atom. As for the total energy: -12.24 eV/atom. The size of the total moment is 26.975 Bohr magnetons per cell. As for the density of states at the Fermi level: 37.33 states/eV/cell.

No. 2
SrTl2W: optimized geometry, PBE.

Lattice parameters (Å, degrees): 5.288 5.288 19.084 90.00 90.00 90.00
Space group I-42d (No. 122)
Inequivalent atoms, fractional coordinates:
1 Sr 0.000 0.000 0.000 x4
2 Tl 0.137 0.250 0.625 x8
3 W 0.000 0.000 0.500 x4

Results
The energy of formation from the pure elements is 3.866 eV per formula unit. As for the calculated volume: 33.4 A^3/atom. As for the total energy: -3.88 eV/atom. The relative energy among the computed polymorphs is 359 meV/atom. The size of the total moment is 8.594 Bohr magnetons per cell. As for the density of states at the Fermi level: 10.35 states/eV/cell.

No. 3
Tb3NdIn: optimized geometry, PBE.

Lattice parameters (Å, degrees): 4.890 25.359 4.872 90.00 90.00 90.00
Space group Cmcm (No. 63)
Inequivalent atoms, fractional coordinates:
1 Tb 0.000 0.048 0.250 x4
2 Tb 0.000 0.250 0.250 x4
3 Tb 0.000 0.448 0.250 x4
4 Nd 0.000 0.148 0.750 x4
5 In 0.000 0.346 0.750 x4

Results
The energy of formation from the pure elements is -0.901 eV per formula unit. As for the calculated volume: 30.2 A^3/atom. As for the total energy: -4.46 eV/atom. The relative energy among the computed polymorphs is 2 meV/atom. The size of the total moment is 0.000 Bohr magnetons per cell. As for the density of states at the Fermi level: 29.12 states/eV/cell.

No. 4
Nd7Ho3: optimized geometry, PBE.

Lattice parameters (Å, degrees): 11.7531 11.7531 5.7778 90.00 90.00 120.00
Space group P6_3mc (No. 186)
Inequivalent atoms, fractional coordinates:
1 Nd 0.0491 0.5246 0.0000 x6
2 Nd 0.1153 0.2306 0.9954 x6
3 Nd 0.3333 0.6667 0.9919 x2
4 Ho 0.2239 0.4479 0.4953 x6

Results
The energy of formation from the pure elements is 1.583 eV per formula unit. As for the calculated volume: 34.6 A^3/atom. As for the total energy: -4.55 eV/atom. The relative energy among the computed polymorphs is 144 meV/atom. The size of the total moment is 0.000 Bohr magnetons per cell. As for the density of states at the Fermi level: 17.41 states/eV/cell.

No. 5
Ho6ZnTc: optimized geometry, PBE.

Lattice parameters (Å, degrees): 4.938 4.938 17.307 90.00 90.00 90.00
Space group I4/mmm (No. 139)
Inequivalent atoms, fractional coordinates:
1 Ho 0.000 0.000 0.249 x4
2 Ho 0.000 0.500 0.097 x8
3 Zn 0.000 0.000 0.500 x2
4 Tc 0.000 0.000 0.000 x2

Results
The energy of formation from the pure elements is -0.498 eV per formula unit. As for the calculated volume: 26.4 A^3/atom. As for the total energy: -4.95 eV/atom. The size of the total moment is 0.001 Bohr magnetons per cell. As for the density of states at the Fermi level: 18.29 states/eV/cell.

No. 6
CaErAl6: optimized geometry, PBE.

Lattice parameters (Å, degrees): 4.442 5.970 6.100 90.00 90.00 90.00
Space group Pmm2 (No. 25)
Inequivalent atoms, fractional coordinates:
1 Ca 0.000 0.000 0.000 x1
2 Er 0.500 0.500 0.212 x1
3 Al 0.000 0.254 0.467 x2
4 Al 0.000 0.500 0.859 x1
5 Al 0.500 0.000 0.364 x1
6 Al 0.500 0.257 0.742 x2

Results
The energy of formation from the pure elements is -2.220 eV per formula unit. As for the calculated volume: 20.2 A^3/atom. As for the total energy: -3.91 eV/atom. The size of the total moment is 0.000 Bohr magnetons per cell. As for the density of states at the Fermi level: 3.21 states/eV/cell.

No. 7
K12Na2Cd: optimized geometry, PBE.

Lattice parameters (Å, degrees): 8.271 8.271 30.247 90.00 90.00 90.00
Space group P4/nbm (No. 125, origin choice 2)
Inequivalent atoms, fractional coordinates:
1 K 0.000 0.000 0.073 x8
2 K 0.069 0.569 0.432 x8
3 K 0.250 0.250 0.188 x4
4 K 0.250 0.250 0.319 x4
5 Na 0.250 0.750 0.247 x4
6 Cd 0.250 0.750 0.000 x2

Results
The energy of formation from the pure elements is 1.369 eV per formula unit. As for the calculated volume: 69.0 A^3/atom. As for the total energy: -1.02 eV/atom. The size of the total moment is 0.001 Bohr magnetons per cell. As for the density of states at the Fermi level: 22.53 states/eV/cell.

No. 8
Tb6Nd5Pu: optimized geometry, PBE.

Lattice parameters (Å, degrees): 6.244 10.827 11.838 90.00 100.16 90.00
Space group C2/m (No. 12)
Inequivalent atoms, fractional coordinates:
1 Tb 0.246 0.000 0.253 x4
2 Tb 0.247 0.164 0.747 x8
3 Nd 0.000 0.167 0.000 x4
4 Nd 0.000 0.333 0.500 x4
5 Nd 0.000 0.500 0.000 x2
6 Pu 0.000 0.000 0.500 x2

Results
The energy of formation from the pure elements is 0.538 eV per formula unit. As for the calculated volume: 32.8 A^3/atom. As for the total energy: -5.45 eV/atom. The size of the total moment is 12.974 Bohr magnetons per cell. As for the density of states at the Fermi level: 47.27 states/eV/cell.

No. 9
NaZn2As2: optimized geometry, PBE.

Lattice parameters (Å, degrees): 7.808 7.808 6.997 90.00 90.00 90.00
Space group I4cm (No. 108)
Inequivalent atoms, fractional coordinates:
1 Na 0.000 0.000 0.000 x4
2 Zn 0.134 0.366 0.166 x8
3 As 0.161 0.339 0.813 x8

Results
The energy of formation from the pure elements is -1.228 eV per formula unit. As for the calculated volume: 21.3 A^3/atom. As for the total energy: -2.88 eV/atom. The size of the total moment is 0.000 Bohr magnetons per cell. As for the density of states at the Fermi level: 11.73 states/eV/cell.

No. 10
IrSe2Br: optimized geometry, PBE.

Lattice parameters (Å, degrees): 4.876 3.774 5.298 90.00 111.51 90.00
Space group P2/m (No. 10)
Inequivalent atoms, fractional coordinates:
1 Ir 0.000 0.000 0.000 x1
2 Se 0.355 0.500 0.149 x2
3 Br 0.000 0.000 0.500 x1

Results
The calculation puts the uncorrected formation energy at -0.12 eV per atom. As for the calculated volume: 22.7 A^3/atom. As for the total energy: -4.49 eV/atom. The relative energy among the computed polymorphs is 111 meV/atom. The size of the total moment is 0.000 Bohr magnetons per cell. As for the density of states at the Fermi level: 2.94 states/eV/cell.

No. 11
PmTiPt2: optimized geometry, PBE.

Lattice parameters (Å, degrees): 3.232 3.232 7.335 90.00 90.00 90.00
Space group P4/mmm (No. 123)
Inequivalent atoms, fractional coordinates:
1 Pm 0.000 0.000 0.000 x1
2 Ti 0.000 0.000 0.500 x1
3 Pt 0.500 0.500 0.303 x2

Results
The energy of formation from the pure elements is -3.764 eV per formula unit. As for the calculated volume: 19.2 A^3/atom. As for the total energy: -7.12 eV/atom. The relative energy among the computed polymorphs is 35 meV/atom. The size of the total moment is 0.000 Bohr magnetons per cell. As for the density of states at the Fermi level: 1.83 states/eV/cell.

No. 12
PmTm2Hg3: optimized geometry, PBE.

Lattice parameters (Å, degrees): 3.706 3.706 11.254 90.00 90.00 90.00
Space group P4/mmm (No. 123)
Inequivalent atoms, fractional coordinates:
1 Pm 0.000 0.000 0.000 x1
2 Tm 0.000 0.000 0.338 x2
3 Hg 0.500 0.500 0.181 x2
4 Hg 0.500 0.500 0.500 x1

Results
The energy of formation from the pure elements is -2.854 eV per formula unit. As for the calculated volume: 25.8 A^3/atom. As for the total energy: -2.91 eV/atom. The size of the total moment is 0.557 Bohr magnetons per cell. As for the density of states at the Fermi level: 5.09 states/eV/cell.